Material: InFeAuF2
Method: DFT, GGA+U
State: relaxed

Lattice parameters (Å, degrees): 4.424 4.424 5.575 90.00 90.00 90.00
Fractional coordinates of all 5 atoms:
In1 0.000 0.000 0.000
Fe1 0.500 0.500 0.000
Au1 0.000 0.000 0.500
F1 0.000 0.500 0.500
F2 0.500 0.000 0.500

Total energy = -3.290 eV per atom
Calculated volume = 21.822 Å³/atom